Entry 1:
Material: CuPI2Br
Method: DFT, GGA-PBE
State: relaxed

Results
The total magnetization is 2.369 Bohr magnetons per cell. Its total energy is -1.884 eV/atom. The formation energy without anion corrections comes out at 0.971 eV per atom. For the density of states at the Fermi level, the calculation gives 5.46 states/eV per cell.

```
CuPI2Br
1.0
6.421 0.000 0.000
0.000 6.421 0.000
0.000 0.000 4.516
Cu P I Br
1 1 2 1
Direct
0.000 0.000 0.000
0.500 0.500 0.000
0.000 0.500 0.500
0.500 0.000 0.500
0.000 0.000 0.500
```


Entry 2:
Material: Tl2ReHg
Method: DFT, GGA-PBE
State: relaxed

Results
The total magnetization is 0.000 Bohr magnetons per cell. Its total energy is -3.661 eV/atom. As for the energy relative to the lowest polymorph listed for this composition: 0.020 eV/atom. For the density of states at the Fermi level, the calculation gives 3.30 states/eV per cell. Its energy of formation from the pure elements is 709 meV per atom.

```
Tl2ReHg
1.0
-1.462 2.418 7.031
1.462 -2.418 7.031
1.462 2.418 -7.031
Tl Re Hg
2 1 1
Direct
0.000 0.000 0.000
0.689 0.189 0.500
0.503 0.503 0.000
0.323 0.823 0.500
```